A geometry-optimized AlV3W structure. Source: Alexandria, functional GGA-PBE.

Summary:
**Formation energy**: 1280 meV per atom
**Size of the total moment**: 0.0000 μB/atom
**Energy above the lowest structure with this stoichiometry**: 1.3803 eV/atom
**E_tot**: -7.531 eV/atom

abc: 4.579 4.579 4.579
angles: 90.00 90.00 90.00
Fractional positions:
Al: 0.000 0.000 0.000
V: 0.000 0.500 0.500
V: 0.500 0.000 0.500
V: 0.500 0.500 0.000
W: 0.500 0.500 0.500

***

A geometry-optimized MnHN structure. Source: Alexandria, functional GGA-PBE.

Summary:
**Size of the total moment**: 0.0001 μB/atom
**Energy above the lowest structure with this stoichiometry**: 0.1011 eV/atom
**E_tot**: -6.834 eV/atom

abc: 2.596 2.596 4.720
angles: 105.81 105.81 60.02
Fractional positions:
Mn: 0.000 0.000 0.000
H: 0.492 0.492 0.479
N: 0.414 0.414 0.244

***

A geometry-optimized AcThPt2 structure. Source: Alexandria, functional GGA-PBE.

Summary:
**Formation energy**: -1046 meV per atom
**Size of the total moment**: 0.0000 μB/atom
**Energy above the lowest structure with this stoichiometry**: 0.1644 eV/atom
**E_tot**: -6.948 eV/atom

abc: 3.711 3.711 7.486
angles: 90.00 90.00 90.00
Fractional positions:
Ac: 0.000 0.000 0.000
Th: 0.000 0.000 0.500
Pt: 0.500 0.500 0.292
Pt: 0.500 0.500 0.708

***

A geometry-optimized CaBrCl structure. Source: Alexandria, functional GGA-PBE.

Summary:
**Size of the total moment**: 0.0000 μB/atom
**E_tot**: -3.432 eV/atom
**Energy relative to the elements, uncorrected**: -1.59 eV/atom

abc: 4.983 4.983 4.983
angles: 60.00 60.00 60.00
Fractional positions:
Ca: 0.000 0.000 0.000
Br: 0.500 0.500 0.500
Cl: 0.250 0.250 0.250

***

A geometry-optimized Sr2LiSiRh structure. Source: Alexandria, functional GGA-PBE.

Summary:
**Size of the total moment**: 0.0000 μB/atom
**E_tot**: -3.835 eV/atom
**Energy relative to the elements, uncorrected**: -0.22 eV/atom

abc: 5.853 5.853 4.613
angles: 90.00 90.00 90.00
Fractional positions:
Sr: 0.000 0.500 0.000
Sr: 0.500 0.000 0.000
Li: 0.000 0.000 0.500
Si: 0.500 0.500 0.500
Rh: 0.500 0.500 0.000

***

A geometry-optimized BaMoSe2 structure. Source: Alexandria, functional GGA-PBE.

Summary:
**Size of the total moment**: 0.0000 μB/atom
**Energy above the lowest structure with this stoichiometry**: 0.5288 eV/atom
**E_tot**: -5.162 eV/atom
**Energy relative to the elements, uncorrected**: -0.23 eV/atom

abc: 5.044 5.044 5.044
angles: 60.00 60.00 60.00
Fractional positions:
Ba: 0.000 0.000 0.000
Mo: 0.500 0.500 0.500
Se: 0.250 0.250 0.250
Se: 0.750 0.750 0.750

***

A geometry-optimized SrCr2Si structure. Source: Alexandria, functional GGA-PBE.

Summary:
**Size of the total moment**: 0.3266 μB/atom
**E_tot**: -6.338 eV/atom
**Energy relative to the elements, uncorrected**: 0.25 eV/atom

abc: 3.124 3.124 7.461
angles: 90.00 90.00 90.00
Fractional positions:
Sr: 0.000 0.000 0.000
Cr: 0.000 0.000 0.491
Cr: 0.500 0.500 0.648
Si: 0.500 0.500 0.305

***

A geometry-optimized KIn3Hg7 structure. Source: Alexandria, functional GGA-PBE.

Summary:
**Formation energy**: -63 meV per atom
**Size of the total moment**: 0.0000 μB/atom
**E_tot**: -1.102 eV/atom

abc: 8.597 8.597 4.986
angles: 90.00 90.00 120.00
Fractional positions:
K: 0.000 0.000 0.000
In: 0.206 0.413 0.505
In: 0.206 0.794 0.505
In: 0.587 0.794 0.505
Hg: 0.333 0.667 0.007
Hg: 0.388 0.194 0.495
Hg: 0.541 0.082 0.996
Hg: 0.541 0.459 0.996
Hg: 0.806 0.194 0.495
Hg: 0.806 0.612 0.495
Hg: 0.918 0.459 0.996

***

A geometry-optimized RbZn3B structure. Source: Alexandria, functional GGA-PBE.

Summary:
**Formation energy**: 565 meV per atom
**Size of the total moment**: 0.0000 μB/atom
**Energy above the lowest structure with this stoichiometry**: 0.0000 eV/atom
**E_tot**: -1.728 eV/atom

abc: 4.603 4.603 4.603
angles: 90.00 90.00 90.00
Fractional positions:
Rb: 0.000 0.000 0.000
Zn: 0.000 0.500 0.500
Zn: 0.500 0.000 0.500
Zn: 0.500 0.500 0.000
B: 0.500 0.500 0.500

***

A geometry-optimized Y2MgPd3 structure. Source: Alexandria, functional GGA-PBE.

Summary:
**Formation energy**: -625 meV per atom
**Size of the total moment**: 0.0000 μB/atom
**Energy above the lowest structure with this stoichiometry**: 0.1977 eV/atom
**E_tot**: -5.642 eV/atom

abc: 6.496 6.496 6.496
angles: 140.75 129.57 65.70
Fractional positions:
Y: 0.184 0.184 0.000
Y: 0.816 0.816 0.000
Mg: 0.500 0.500 0.000
Pd: 0.000 0.500 0.500
Pd: 0.368 0.868 0.500
Pd: 0.632 0.132 0.500

***

A geometry-optimized ZnP structure. Source: Alexandria, functional GGA-PBE.

Summary:
**Formation energy**: 114 meV per atom
**Size of the total moment**: 0.0000 μB/atom
**E_tot**: -3.228 eV/atom

abc: 3.572 3.572 7.056
angles: 90.00 90.00 120.00
Fractional positions:
Zn: 0.333 0.667 0.000
Zn: 0.667 0.333 0.500
P: 0.333 0.667 0.671
P: 0.667 0.333 0.171

***

A geometry-optimized KSr2OsO5 structure. Source: Alexandria, functional GGA-PBE.

Summary:
**Size of the total moment**: 0.1091 μB/atom
**E_tot**: -6.456 eV/atom
**Energy relative to the elements, uncorrected**: -1.96 eV/atom

abc: 6.882 6.882 6.882
angles: 147.56 126.21 64.24
Fractional positions:
K: 0.000 0.000 0.000
Sr: 0.277 0.777 0.500
Sr: 0.723 0.223 0.500
Os: 0.500 0.500 0.000
O: 0.153 0.372 0.781
O: 0.409 0.628 0.781
O: 0.500 0.000 0.500
O: 0.591 0.372 0.219
O: 0.847 0.628 0.219